(1)
Compound: BaDyFe4O7
Source: the Alexandria database
Functional: meta-GGA SCAN
Structure: single point on PBEsol structure

abc: 6.2673 8.9386 6.2757
angles: 90.00 90.28 90.00
Positions (direct):
1 Ba 0.2196 0.0000 0.2344
2 Ba 0.7804 0.5000 0.7656
3 Dy 0.2511 0.2521 0.7392
4 Dy 0.7489 0.7521 0.2608
5 Fe 0.0109 0.8727 0.7406
6 Fe 0.2430 0.6352 0.9973
7 Fe 0.2749 0.6622 0.5720
8 Fe 0.4768 0.8582 0.7736
9 Fe 0.5232 0.3582 0.2264
10 Fe 0.7251 0.1622 0.4280
11 Fe 0.7570 0.1352 0.0027
12 Fe 0.9891 0.3727 0.2594
13 O 0.0235 0.2434 0.0145
14 O 0.0392 0.7753 0.4674
15 O 0.2171 0.4998 0.7603
16 O 0.2467 0.0037 0.7902
17 O 0.2570 0.4938 0.2455
18 O 0.4294 0.2144 0.4410
19 O 0.4580 0.7824 0.0620
20 O 0.5420 0.2824 0.9380
21 O 0.5706 0.7144 0.5590
22 O 0.7430 0.9938 0.7545
23 O 0.7533 0.5037 0.2098
24 O 0.7829 0.9998 0.2397
25 O 0.9608 0.2753 0.5326
26 O 0.9765 0.7434 0.9855

(2)
Compound: BaDyFe4O7
Source: the Alexandria database
Functional: meta-GGA SCAN
Structure: single point on PBEsol structure

abc: 6.3058 6.3058 6.3058
angles: 121.12 121.12 88.07
Positions (direct):
1 Ba 0.0000 0.0000 0.0000
2 Dy 0.2500 0.7500 0.5000
3 Fe 0.0956 0.3464 0.7145
4 Fe 0.6190 0.9044 0.2508
5 Fe 0.6318 0.3810 0.2855
6 Fe 0.6536 0.3682 0.7492
7 O 0.0035 0.5035 0.5000
8 O 0.0237 0.4262 0.0050
9 O 0.4212 0.0187 0.9950
10 O 0.4965 0.9965 0.5000
11 O 0.5000 0.5000 0.0000
12 O 0.5738 0.5788 0.5975
13 O 0.9813 0.9763 0.4025

Verdict on stability: (1) comes out on top.